A relaxed structure of Ta2MnF. Source: the Alexandria database, functional PBE+U.

```
4
Lattice="0.000 3.064 3.064 3.064 0.000 3.064 3.064 3.064 0.000" Properties=species:S:1:pos:R:3 pbc="T T T"
Ta 1.532 1.532 1.532
Ta 4.596 4.596 4.596
Mn 0.000 0.000 0.000
F 3.064 3.064 3.064
```

Results
- total magnetization (μB per formula unit) = 0.0
- D(E_F) (states/eV/f.u.) = 4.9
- relative energy among the computed polymorphs (eV per atom) = 0.354
- ρ (g cm⁻³) = 12.58